[1]
The following is a DFT calculation (PBE) of a geometry-optimized CeTlPd structure.

a = 6.815 Å, b = 6.815 Å, c = 6.815 Å
α = 90.00°, β = 90.00°, γ = 90.00°
Positions (direct):
Ce  0.000  0.000  0.000
Ce  0.000  0.500  0.500
Ce  0.500  0.000  0.500
Ce  0.500  0.500  0.000
Tl  0.000  0.000  0.500
Tl  0.000  0.500  0.000
Tl  0.500  0.000  0.000
Tl  0.500  0.500  0.500
Pd  0.250  0.250  0.750
Pd  0.250  0.750  0.250
Pd  0.750  0.250  0.250
Pd  0.750  0.750  0.750

As for the density of states at the Fermi level: 2.35 states/eV/atom. The calculated density is 9464 kg/m3. Its symmetry is No. 216. Its formation energy is -1.349 eV per formula unit. As for the excess energy over the best structure of this formula in the dataset: 120.7 meV/atom.

***

[2]
The following is a DFT calculation (PBE) of a geometry-optimized CeTlPd structure.

a = 7.891 Å, b = 7.891 Å, c = 3.956 Å
α = 90.00°, β = 90.00°, γ = 120.00°
Positions (direct):
Ce  0.000  0.592  0.000
Ce  0.408  0.408  0.000
Ce  0.592  0.000  0.000
Tl  0.000  0.262  0.500
Tl  0.262  0.000  0.500
Tl  0.738  0.738  0.500
Pd  0.000  0.000  0.000
Pd  0.333  0.667  0.500
Pd  0.667  0.333  0.500

As for the density of states at the Fermi level: 1.85 states/eV/atom. The calculated density is 10531 kg/m3. Its symmetry is No. 189. Its formation energy is -1.711 eV per formula unit. As for the excess energy over the best structure of this formula in the dataset: 0.0 meV/atom.

***

[3]
The following is a DFT calculation (PBE) of a geometry-optimized Ce2Tl2Pd5 structure.

a = 6.476 Å, b = 6.476 Å, c = 7.510 Å
α = 111.58°, β = 111.58°, γ = 47.18°
Positions (direct):
Ce  0.120  0.120  0.373
Ce  0.880  0.880  0.627
Tl  0.370  0.370  0.101
Tl  0.630  0.630  0.899
Pd  0.138  0.138  0.760
Pd  0.359  0.359  0.725
Pd  0.500  0.500  0.500
Pd  0.641  0.641  0.275
Pd  0.862  0.862  0.240

As for the density of states at the Fermi level: 1.41 states/eV/atom. The calculated density is 9583 kg/m3. Its symmetry is No. 12. Its formation energy is -3.180 eV per formula unit.

***

[4]
The following is a DFT calculation (PBE) of a geometry-optimized CeTl3Pd12 structure.

a = 4.112 Å, b = 4.112 Å, c = 16.365 Å
α = 90.00°, β = 90.00°, γ = 90.00°
Positions (direct):
Ce  0.000  0.000  0.000
Tl  0.000  0.000  0.254
Tl  0.000  0.000  0.500
Tl  0.000  0.000  0.746
Pd  0.000  0.500  0.125
Pd  0.000  0.500  0.376
Pd  0.000  0.500  0.624
Pd  0.000  0.500  0.875
Pd  0.500  0.000  0.125
Pd  0.500  0.000  0.376
Pd  0.500  0.000  0.624
Pd  0.500  0.000  0.875
Pd  0.500  0.500  0.000
Pd  0.500  0.500  0.249
Pd  0.500  0.500  0.500
Pd  0.500  0.500  0.751

As for the density of states at the Fermi level: 0.75 states/eV/atom. The calculated density is 12183 kg/m3. Its symmetry is No. 123. Its formation energy is -5.848 eV per formula unit.

***

[5]
The following is a DFT calculation (PBE) of a geometry-optimized CeTlPd structure.

a = 4.862 Å, b = 4.862 Å, c = 3.446 Å
α = 90.00°, β = 90.00°, γ = 120.00°
Positions (direct):
Ce  0.000  0.000  0.000
Tl  0.333  0.667  0.500
Pd  0.667  0.333  0.500

As for the density of states at the Fermi level: 1.70 states/eV/atom. The calculated density is 10615 kg/m3. Its symmetry is No. 187. Its formation energy is -1.450 eV per formula unit. As for the excess energy over the best structure of this formula in the dataset: 87.0 meV/atom.

***

[6]
The following is a DFT calculation (PBE) of a geometry-optimized CeYTlPd structure.

a = 7.433 Å, b = 7.433 Å, c = 7.433 Å
α = 90.00°, β = 90.00°, γ = 90.00°
Positions (direct):
Ce  0.000  0.000  0.000
Ce  0.000  0.500  0.500
Ce  0.500  0.000  0.500
Ce  0.500  0.500  0.000
Y  0.000  0.000  0.500
Y  0.000  0.500  0.000
Y  0.500  0.000  0.000
Y  0.500  0.500  0.500
Tl  0.250  0.250  0.750
Tl  0.250  0.750  0.250
Tl  0.750  0.250  0.250
Tl  0.750  0.750  0.750
Pd  0.250  0.250  0.250
Pd  0.250  0.750  0.750
Pd  0.750  0.250  0.750
Pd  0.750  0.750  0.250

As for the density of states at the Fermi level: 1.99 states/eV/atom. The calculated density is 8731 kg/m3. Its symmetry is No. 216. Its formation energy is -1.712 eV per formula unit.

***

[7]
The following is a DFT calculation (PBE) of a geometry-optimized CeTmPd2 structure.

a = 3.701 Å, b = 4.598 Å, c = 5.622 Å
α = 90.00°, β = 109.14°, γ = 90.00°
Positions (direct):
Ce  0.000  0.000  0.000
Tm  0.727  0.500  0.452
Pd  0.273  0.000  0.545
Pd  0.451  0.500  0.901

As for the density of states at the Fermi level: 1.64 states/eV/atom. The calculated density is 9590 kg/m3. Its symmetry is No. 6. Its formation energy is -3.268 eV per formula unit.

***

[8]
The following is a DFT calculation (PBE) of a geometry-optimized Ce2TmPd9 structure.

a = 4.133 Å, b = 4.133 Å, c = 12.389 Å
α = 90.00°, β = 90.00°, γ = 90.00°
Positions (direct):
Ce  0.000  0.000  0.170
Ce  0.000  0.000  0.830
Tm  0.000  0.000  0.500
Pd  0.000  0.500  0.000
Pd  0.000  0.500  0.335
Pd  0.000  0.500  0.665
Pd  0.500  0.000  0.000
Pd  0.500  0.000  0.335
Pd  0.500  0.000  0.665
Pd  0.500  0.500  0.168
Pd  0.500  0.500  0.500
Pd  0.500  0.500  0.832

As for the density of states at the Fermi level: 0.63 states/eV/atom. The calculated density is 11037 kg/m3. Its symmetry is No. 123. Its formation energy is -10.474 eV per formula unit.

***

[9]
The following is a DFT calculation (PBE) of a geometry-optimized CeTm2Pd structure.

a = 3.482 Å, b = 3.482 Å, c = 8.399 Å
α = 90.00°, β = 90.00°, γ = 90.00°
Positions (direct):
Ce  0.000  0.000  0.000
Tm  0.500  0.500  0.301
Tm  0.500  0.500  0.699
Pd  0.000  0.000  0.500

As for the density of states at the Fermi level: 1.70 states/eV/atom. The calculated density is 9530 kg/m3. Its symmetry is No. 123. Its formation energy is -1.635 eV per formula unit. As for the excess energy over the best structure of this formula in the dataset: 0.0 meV/atom.

***

[10]
The following is a DFT calculation (PBE) of a geometry-optimized CeTmPd2 structure.

a = 3.428 Å, b = 3.428 Å, c = 7.376 Å
α = 90.00°, β = 90.00°, γ = 90.00°
Positions (direct):
Ce  0.000  0.000  0.000
Tm  0.000  0.000  0.500
Pd  0.500  0.500  0.273
Pd  0.500  0.500  0.727

As for the density of states at the Fermi level: 1.68 states/eV/atom. The calculated density is 9999 kg/m3. Its symmetry is No. 123. Its formation energy is -3.110 eV per formula unit.

***

[11]
The following is a DFT calculation (PBE) of a geometry-optimized CeTm2Pd9 structure.

a = 4.116 Å, b = 4.116 Å, c = 12.302 Å
α = 90.00°, β = 90.00°, γ = 90.00°
Positions (direct):
Ce  0.000  0.000  0.000
Tm  0.000  0.000  0.337
Tm  0.000  0.000  0.663
Pd  0.000  0.500  0.167
Pd  0.000  0.500  0.500
Pd  0.000  0.500  0.833
Pd  0.500  0.000  0.167
Pd  0.500  0.000  0.500
Pd  0.500  0.000  0.833
Pd  0.500  0.500  0.000
Pd  0.500  0.500  0.333
Pd  0.500  0.500  0.667

As for the density of states at the Fermi level: 0.58 states/eV/atom. The calculated density is 11438 kg/m3. Its symmetry is No. 123. Its formation energy is -10.803 eV per formula unit.

***

[12]
The following is a DFT calculation (PBE) of a geometry-optimized CeTm2Pd structure.

a = 3.529 Å, b = 3.529 Å, c = 29.612 Å
α = 90.00°, β = 90.00°, γ = 120.00°
Positions (direct):
Ce  0.000  0.000  0.000
Ce  0.333  0.667  0.667
Ce  0.667  0.333  0.333
Tm  0.000  0.000  0.234
Tm  0.000  0.000  0.766
Tm  0.333  0.667  0.433
Tm  0.333  0.667  0.901
Tm  0.667  0.333  0.099
Tm  0.667  0.333  0.567
Pd  0.000  0.000  0.500
Pd  0.333  0.667  0.167
Pd  0.667  0.333  0.833

As for the density of states at the Fermi level: 1.76 states/eV/atom. The calculated density is 9117 kg/m3. Its symmetry is No. 166. Its formation energy is -1.026 eV per formula unit. As for the excess energy over the best structure of this formula in the dataset: 152.4 meV/atom.

***

[13]
The following is a DFT calculation (PBE) of a geometry-optimized CeTm2Pd structure.

a = 3.581 Å, b = 3.581 Å, c = 29.360 Å
α = 90.00°, β = 90.00°, γ = 120.00°
Positions (direct):
Ce  0.000  0.000  0.000
Ce  0.333  0.667  0.667
Ce  0.667  0.333  0.333
Tm  0.000  0.000  0.234
Tm  0.000  0.000  0.435
Tm  0.333  0.667  0.102
Tm  0.333  0.667  0.901
Tm  0.667  0.333  0.568
Tm  0.667  0.333  0.769
Pd  0.000  0.000  0.835
Pd  0.333  0.667  0.502
Pd  0.667  0.333  0.168

As for the density of states at the Fermi level: 1.86 states/eV/atom. The calculated density is 8931 kg/m3. Its symmetry is No. 160. Its formation energy is -1.011 eV per formula unit. As for the excess energy over the best structure of this formula in the dataset: 156.0 meV/atom.